# YB2H6 (PBE-GGA, optimized geometry)
# Uncorrected energy in eV/atom: -3.179
# Size of the total moment in μB/atom: 0.000
data_YB2H6
_space_group_name_H-M_alt 'F m -3 m'
_space_group_IT_number 225
_space_group_name_Hall '-F 4 2 3'
_cell_length_a 6.415
_cell_length_b 6.415
_cell_length_c 6.415
_cell_angle_alpha 90.00
_cell_angle_beta 90.00
_cell_angle_gamma 90.00
loop_
_atom_site_label
_atom_site_fract_x
_atom_site_fract_y
_atom_site_fract_z
Y1 0.000 0.000 0.000
B1 0.250 0.250 0.250
H1 0.000 0.000 0.355